VASP calculation (PBE) on a relaxed structure of La4Pr2NdAu2.

POSCAR file:
```
La4Pr2NdAu2
1.0
6.372 0.000 0.000
2.943 6.232 0.000
1.279 3.035 7.367
La Pr Nd Au
4 2 1 2
direct
0.087 0.245 0.237
0.210 0.652 0.370
0.790 0.348 0.630
0.913 0.755 0.763
0.305 0.142 0.817
0.695 0.858 0.183
0.500 0.500 0.000
0.389 0.829 0.594
0.611 0.171 0.406
```

Results
density of states at the Fermi level = 12.59 states/eV/cell
DFT formation energy = -0.25 eV per atom